Here is Ta2Mn4O9 after structural relaxation from Alexandria. Energies are from PBE+U.

Cell: 5.3960 5.3961 14.5054 Å, 90.00 90.00 120.00°
Site moments in Bohr magnetons follow the coordinates.
Fractional coordinates of all 30 atoms:
O1 0.6657 0.6944 0.9140  0.05
Mn1 0.3333 0.6667 0.0192  4.64
Mn2 0.3333 0.6666 0.8053  4.63
Ta1 0.0000 0.0000 0.1436  0.10
O2 0.3056 0.3343 0.4140  0.05
O3 0.6944 0.6657 0.5860  0.05
Mn3 0.6667 0.3333 0.9808  4.64
O4 0.3056 0.9713 0.9140  0.05
O5 0.9713 0.3056 0.5860  0.05
Ta2 0.0000 0.0000 0.3564  0.10
O6 0.0287 0.6944 0.4140  0.05
Ta3 0.0000 0.0000 0.8564  0.10
Mn4 0.6667 0.3333 0.4808  4.64
O7 0.7240 0.7240 0.2500  0.04
O8 0.2760 0.2760 0.7500  0.04
O9 0.2760 0.0000 0.2500  0.04
O10 0.9713 0.6657 0.0860  0.05
O11 0.6657 0.9713 0.4140  0.05
Mn5 0.6667 0.3333 0.6947  4.63
O12 0.7240 0.0000 0.7500  0.04
O13 0.3343 0.0287 0.5860  0.05
Mn6 0.6667 0.3333 0.1947  4.63
O14 0.3343 0.3056 0.0860  0.05
O15 0.0287 0.3342 0.9140  0.05
Mn7 0.3333 0.6667 0.5192  4.64
O16 0.0000 0.2760 0.2500  0.04
O17 0.0000 0.7240 0.7500  0.04
Mn8 0.3333 0.6667 0.3053  4.63
O18 0.6944 0.0287 0.0860  0.05
Ta4 0.0000 0.0000 0.6436  0.10

E_tot ... -264.217 eV for the cell shown
Spin magnetization ... 40.00 Bohr magnetons per cell
Space group ... P-3c1 (165)
Energy above the most stable polymorph in this dataset ... 0 meV per atom